AsBrCl | PBEsol | relaxed

Summary:
Density (g cm⁻³): 4.7
E_tot (eV per cell): -8.59
M_tot (μB/atom): 0.0000
ΔE to the lowest computed polymorph (meV/atom): 195
Energy relative to the elements, uncorrected (eV per atom): 0.1304
Symmetry: I4mm (107)

Cell lengths 6.742, 6.742, 6.742 Å; angles 152.14, 152.14, 39.81 degrees
Element x y z (fractional)
As (0.000, 0.000, 0.000)
Br (0.635, 0.635, 0.000)
Cl (0.368, 0.368, 0.000)

***

Zr2MoOs | PBEsol | relaxed

Summary:
Density (g cm⁻³): 10.9
Energy relative to the elements (eV per atom): 0.23
E_tot (eV per cell): -41.24
M_tot (μB/atom): 0.0000
Symmetry: R3m (160)

Cell lengths 10.028, 10.028, 10.028 Å; angles 16.53, 16.53, 16.53 degrees
Element x y z (fractional)
Zr (0.000, 0.000, 0.000)
Zr (0.237, 0.237, 0.237)
Mo (0.753, 0.753, 0.753)
Os (0.489, 0.489, 0.489)

***

TiH2IrRu | PBEsol | relaxed

Summary:
Density (g cm⁻³): 9.4
E_tot (eV per cell): -31.84
M_tot (μB/atom): 0.0003
Symmetry: P4/mmm (123)

Cell lengths 3.507, 3.507, 4.955 Å; angles 90.00, 90.00, 90.00 degrees
Element x y z (fractional)
Ti (0.000, 0.000, 0.000)
H (0.000, 0.500, 0.000)
H (0.500, 0.000, 0.000)
Ir (0.000, 0.000, 0.500)
Ru (0.500, 0.500, 0.500)

***

Ba2HfMgSi | PBEsol | relaxed

Summary:
Density (g cm⁻³): 4.5
E_tot (eV per cell): -16.59
M_tot (μB/atom): 0.0023
Energy relative to the elements, uncorrected (eV per atom): 1.1348
Symmetry: P4/mmm (123)

Cell lengths 5.842, 5.842, 5.499 Å; angles 90.00, 90.00, 90.00 degrees
Element x y z (fractional)
Ba (0.000, 0.500, 0.000)
Ba (0.500, 0.000, 0.000)
Hf (0.000, 0.000, 0.000)
Mg (0.000, 0.000, 0.500)
Si (0.500, 0.500, 0.500)